Entry 1:
This record from Alexandria describes KHfHg3 after structural relaxation. The functional is PBE-GGA.

Lattice parameters (Å, degrees): 5.6285 5.6285 5.6285 90.00 90.00 90.00
Each line ends with the local moment (μB).
Fractional coordinates of all 5 atoms:
K: 0.5000 0.5000 0.5000  0.00
Hf: 0.0000 0.0000 0.0000  0.39
Hg: 0.0000 0.5000 0.0000  0.04
Hg: 0.0000 0.0000 0.5000  0.01
Hg: 0.5000 0.0000 0.0000  0.05

Summary:
As for the space-group type: Pm-3m, No. 221. As for the crystal system: cubic. The calculation puts the energy of formation from the pure elements at 1.04 eV/f.u.

Entry 2:
This record from Alexandria describes ZnCrCdCo2 after structural relaxation. The functional is PBE-GGA.

Lattice parameters (Å, degrees): 4.1890 4.6719 4.1890 90.00 90.00 90.00
Fractional coordinates of all 5 atoms:
Cr: 0.0000 0.0000 0.0000
Zn: 0.0000 0.5000 0.0000
Co: 0.0000 0.0000 0.5000
Co: 0.5000 0.0000 0.0000
Cd: 0.5000 0.5000 0.5000

Summary:
As for the space-group type: P4/mmm, No. 123. As for the crystal system: tetragonal. The calculation puts the energy of formation from the pure elements at 4.81 eV/f.u.

Entry 3:
This record from Alexandria describes Tl3In3Hg8 after structural relaxation. The functional is PBE-GGA.

Lattice parameters (Å, degrees): 4.8191 9.4895 9.4895 75.65 75.29 75.29
Fractional coordinates of all 14 atoms:
Tl: 0.5000 0.5000 0.5000
Tl: 0.7808 0.2192 0.2192
Tl: 0.2192 0.7808 0.7808
In: 0.5000 0.0000 0.0000
In: 0.0000 0.8318 0.1682
In: 0.0000 0.1682 0.8318
Hg: 0.6526 0.0519 0.6429
Hg: 0.3474 0.9481 0.3571
Hg: 0.6526 0.6429 0.0519
Hg: 0.3474 0.3571 0.9481
Hg: 0.8639 0.7652 0.5070
Hg: 0.1361 0.2348 0.4930
Hg: 0.8639 0.5070 0.7652
Hg: 0.1361 0.4930 0.2348

Summary:
As for the space-group type: Immm, No. 71. As for the crystal system: orthorhombic. The calculation puts the energy of formation from the pure elements at 0.12 eV/f.u.

Entry 4:
This record from Alexandria describes LaZnIn2 after structural relaxation. The functional is PBE-GGA.

Lattice parameters (Å, degrees): 4.6225 4.6225 6.2887 68.44 68.44 60.10
Fractional coordinates of all 4 atoms:
In: 0.0294 0.0294 0.9114
In: 0.4706 0.4706 0.5886
La: 0.2500 0.2500 0.2500
Zn: 0.7500 0.7500 0.7500

Summary:
As for the space-group type: C2/m, No. 12. As for the crystal system: monoclinic. The calculation puts the energy of formation from the pure elements at -1.32 eV/f.u.

Entry 5:
This record from Alexandria describes Zr2CdRh3 after structural relaxation. The functional is PBE-GGA.

Lattice parameters (Å, degrees): 3.3472 3.3472 9.4758 90.00 90.00 90.00
Fractional coordinates of all 6 atoms:
Zr: 0.5000 0.5000 0.8258
Zr: 0.5000 0.5000 0.1742
Cd: 0.5000 0.5000 0.5000
Rh: 0.0000 0.0000 0.0000
Rh: 0.0000 0.0000 0.6783
Rh: 0.0000 0.0000 0.3217

Summary:
As for the space-group type: P4/mmm, No. 123. As for the crystal system: tetragonal. The calculation puts the energy of formation from the pure elements at -4.09 eV/f.u.

Entry 6:
This record from Alexandria describes Te2PbWI after structural relaxation. The functional is PBE-GGA.

Lattice parameters (Å, degrees): 5.9215 5.5492 5.9215 90.00 90.00 90.00
Each line ends with the local moment (μB).
Fractional coordinates of all 5 atoms:
Pb: 0.0000 0.0000 0.0000  0.00
I: 0.5000 0.5000 0.5000  -0.27
Te: 0.0000 0.0000 0.5000  -0.38
Te: 0.5000 0.0000 0.0000  -0.39
W: 0.0000 0.5000 0.0000  3.00

Summary:
As for the space-group type: P4/mmm, No. 123. As for the crystal system: tetragonal. For the formation energy (no corrections), the calculation gives 1.547 eV per atom.